[1]
LaEu2Cd | Alexandria | PBE | optimized geometry; formation energy from the elements = -0.118 eV/atom
1.0
3.844 0.000 0.000
0.000 3.844 0.000
0.000 0.000 9.524
Eu Cd La
2 1 1
Cartesian
0.000 0.000 7.521
0.000 0.000 2.004
1.922 1.922 0.000
1.922 1.922 4.762

***

[2]
Mg5Co4 | Alexandria | PBE | optimized geometry; formation energy from the elements = 0.182 eV/atom
1.0
-4.119 4.119 2.045
4.119 -4.119 2.045
4.119 4.119 -2.045
Mg Co
5 4
Cartesian
0.000 0.000 0.000
-1.444 1.444 2.045
1.444 -1.444 2.045
2.675 2.675 0.000
1.444 1.444 2.045
0.000 5.262 0.000
0.000 2.976 0.000
2.976 0.000 0.000
5.262 0.000 0.000

***

[3]
Nd4Be | Alexandria | PBE | optimized geometry; formation energy from the elements = 0.289 eV/atom
1.0
5.502 0.000 0.000
0.000 5.502 0.000
0.000 0.000 5.502
Be Nd
1 4
Cartesian
2.751 2.751 2.751
0.000 0.000 0.000
2.751 0.000 2.751
0.000 2.751 2.751
2.751 2.751 0.000

***

[4]
BaLi2Ni2 | Alexandria | PBE | optimized geometry; formation energy from the elements = 0.115 eV/atom
1.0
-0.023 -4.318 0.164
1.963 -0.157 -3.846
5.749 -2.170 0.595
Ni Ba Li
2 1 2
Cartesian
1.996 -2.223 -1.318
5.692 -4.422 -1.769
0.000 0.000 0.000
3.348 -4.363 -0.541
4.341 -2.282 -2.546

***

[5]
TeMoOs2 | Alexandria | PBE | optimized geometry; ΔE_f (raw) = 2.73 eV per formula unit
1.0
-1.059 -2.264 4.774
-3.386 -4.190 0.150
4.628 1.983 -1.921
Mo Os Te
1 2 1
Cartesian
-0.567 -2.829 0.431
-0.006 -0.008 0.006
0.770 -1.613 2.550
-2.236 -3.248 2.478

***

[6]
Y12Sn6Ru | Alexandria | PBE | optimized geometry; formation energy from the elements = -0.432 eV/atom
1.0
-6.940 -2.246 -4.620
3.450 -7.813 1.270
-3.735 1.172 7.696
Y Sn Ru
12 6 1
Cartesian
-5.260 -5.785 0.391
-2.418 -6.617 3.414
-5.482 -3.784 4.113
-1.965 -3.101 3.956
-4.807 -2.269 0.933
-1.743 -5.103 0.234
1.800 -7.409 3.376
-1.294 -4.317 8.017
-1.606 -8.872 -1.814
-9.025 -1.477 0.971
-5.931 -4.569 -3.670
-5.619 -0.015 6.160
-3.141 -7.974 0.724
-3.807 -3.688 -1.592
0.184 -4.879 2.607
-4.084 -0.913 3.623
-3.418 -5.198 5.939
-7.409 -4.007 1.740
0.000 0.000 0.000

***

[7]
LiTa2 | Alexandria | PBE | optimized geometry; formation energy from the elements = 0.387 eV/atom
1.0
-8.115 5.814 -4.433
-10.687 2.258 0.024
9.886 -1.763 4.297
Li Ta
4 8
Cartesian
-17.127 7.353 -4.016
-1.675 0.719 -0.393
-3.426 1.546 1.451
-6.776 2.985 0.666
-14.041 6.028 -3.292
-4.762 2.044 -1.117
-8.455 6.035 -2.258
0.824 2.052 -0.082
-10.909 4.683 -2.558
-7.893 3.389 -1.851
-5.323 4.691 -1.524
-2.307 3.396 -0.817

***

[8]
ZrTiS2 | Alexandria | PBE | optimized geometry; ΔE_f (raw) = -3.82 eV per formula unit
1.0
-2.916 2.023 4.319
-4.498 0.515 -3.279
-5.301 -3.947 1.887
S Zr Ti
4 2 2
Cartesian
-3.642 0.295 2.660
-4.569 -0.365 -0.936
-6.861 -1.996 1.729
-10.358 -0.752 2.402
0.000 0.000 0.000
-5.962 -0.328 3.363
-3.707 1.269 0.520
-6.753 -1.082 -0.436

***

[9]
MoPdRhCl2 | Alexandria | PBE | optimized geometry; ΔE_f (raw) = 5.96 eV per formula unit
1.0
4.616 0.000 0.000
0.000 5.343 0.000
0.000 0.000 4.616
Mo Rh Pd Cl
1 1 1 2
Cartesian
0.000 2.671 0.000
2.308 2.671 2.308
0.000 0.000 0.000
0.000 0.000 2.308
2.308 0.000 0.000

***

[10]
MgNbNiRu2 | Alexandria | PBE | optimized geometry; formation energy from the elements = 1.616 eV/atom
1.0
-2.758 -2.245 -2.968
-1.443 -3.197 3.760
-3.487 2.850 1.085
Ru Nb Mg Ni
2 1 1 1
Cartesian
-1.744 1.425 0.542
-1.379 -1.123 -1.484
0.000 0.000 0.000
-0.722 -1.599 1.880
-3.844 -1.296 0.938

***

[11]
KDyTl2 | Alexandria | PBE | optimized geometry; formation energy from the elements = -0.200 eV/atom
1.0
3.866 0.000 0.000
0.000 3.866 0.000
0.000 0.000 8.633
Tl K Dy
2 1 1
Cartesian
0.000 0.000 6.844
0.000 0.000 1.790
1.933 1.933 4.317
1.933 1.933 0.000

***

[12]
CdPbSCl2 | Alexandria | PBE | optimized geometry; ΔE_f (raw) = -1.17 eV per formula unit
1.0
5.418 0.000 0.000
0.000 5.418 0.000
0.000 0.000 5.358
Pb S Cl Cd
1 1 2 1
Cartesian
0.000 0.000 0.000
0.000 0.000 2.679
0.000 2.709 0.000
2.709 0.000 0.000
2.709 2.709 2.679

***

Total moment for every record listed, in sequence, given in μB/f.u.: 14.8, 4.8, 0.0, 0.0, 0.0, 0.0, 0.0, 0.5, 3.7, 1.5, 0.1, 0.0.
N(E_F) for every record listed, in sequence, given in states/eV per cell: 9.30, 7.59, 6.17, 0.96, 2.45, 17.28, 10.06, 9.30, 7.05, 6.24, 2.48, 2.65.